# K12Cd2Hg5

A relaxed K12Cd2Hg5 crystal (GGA-PBE, the Alexandria database).

DFT formation energy = -128.7 meV/atom
Magnetization = 0.00 μB/atom
Uncorrected energy = -0.9976 eV/atom
DOS at the Fermi energy = 11.3 states/eV per cell

POSCAR file:
```
K12Cd2Hg5
1.0
0.618 6.291 7.250
-4.182 -4.933 7.121
7.905 -3.436 4.799
K Hg Cd
12 5 2
Direct
0.341 0.010 0.175
0.905 0.905 0.184
0.606 0.171 0.395
0.829 0.394 0.605
0.394 0.829 0.605
0.990 0.659 0.825
0.171 0.606 0.395
0.659 0.990 0.825
0.010 0.341 0.175
0.095 0.095 0.816
0.612 0.612 0.217
0.388 0.388 0.783
0.380 0.380 0.152
0.783 0.783 0.541
0.000 0.000 0.500
0.620 0.620 0.848
0.217 0.217 0.459
0.306 0.694 0.000
0.694 0.306 0.000
```


# Tc2NiRu

A relaxed Tc2NiRu crystal (GGA-PBE, the Alexandria database).

DFT formation energy = 100.1 meV/atom
Magnetization = 0.00 μB/atom
Relative energy among the computed polymorphs = 149 meV per atom
Uncorrected energy = -8.8472 eV/atom
DOS at the Fermi energy = 5.0 states/eV per cell

POSCAR file:
```
Tc2NiRu
1.0
4.668 -0.001 -0.005
3.890 2.581 -0.005
0.752 0.227 4.522
Tc Ru Ni
2 1 1
Direct
0.499 0.499 0.500
0.001 0.001 0.000
0.250 0.250 0.250
0.750 0.750 0.750
```


# CaRu3

A relaxed CaRu3 crystal (GGA-PBE, the Alexandria database).

DFT formation energy = 511.2 meV/atom
Magnetization = 0.00 μB/atom
Uncorrected energy = -6.9460 eV/atom
DOS at the Fermi energy = 6.6 states/eV per cell

POSCAR file:
```
CaRu3
1.0
-0.511 -3.399 3.571
-0.953 -2.077 -4.398
2.657 -0.671 -0.259
Ca Ru
1 3
Direct
0.000 0.000 0.000
0.500 0.000 0.500
0.000 0.500 0.500
0.500 0.500 0.000
```


# Re2AuSe

A relaxed Re2AuSe crystal (GGA-PBE, the Alexandria database).

Magnetization = 0.00 μB/atom
Energy relative to the elements, uncorrected = 0.289 eV/atom
Uncorrected energy = -7.6252 eV/atom
DOS at the Fermi energy = 3.5 states/eV per cell

POSCAR file:
```
Re2AuSe
1.0
-0.288 -2.863 0.351
2.860 -0.238 0.405
-1.090 1.137 8.369
Re Se Au
2 1 1
Direct
0.500 0.500 0.238
0.000 0.000 0.033
0.000 0.000 0.435
0.500 0.500 0.794
```


# SrMoH2N

A relaxed SrMoH2N crystal (GGA-PBE, the Alexandria database).

Magnetization = 0.00 μB/atom
Uncorrected energy = -5.9387 eV/atom
DOS at the Fermi energy = 2.0 states/eV per cell

POSCAR file:
```
SrMoH2N
1.0
-3.048 1.269 2.022
0.719 -2.640 2.739
2.351 2.614 1.902
H Sr N Mo
2 1 1 1
Direct
0.000 0.500 0.000
0.500 0.000 0.000
0.500 0.500 0.500
0.000 0.000 0.500
0.000 0.000 0.000
```


# CsBeIrF2

A relaxed CsBeIrF2 crystal (GGA-PBE, the Alexandria database).

Magnetization = 0.00 μB/atom
Energy relative to the elements, uncorrected = -0.660 eV/atom
Uncorrected energy = -4.0969 eV/atom
DOS at the Fermi energy = 1.2 states/eV per cell

POSCAR file:
```
CsBeIrF2
1.0
3.875 0.000 0.000
0.000 5.005 0.000
0.000 0.000 3.875
Ir F Cs Be
1 2 1 1
Direct
0.000 0.500 0.000
0.500 0.000 0.000
0.000 0.000 0.500
0.500 0.500 0.500
0.000 0.000 0.000
```